Material: SrAg2Os
Method: DFT, PBE
State: optimized geometry

Geometry as POSCAR:
```
SrAg2Os
1.0
-0.032 -1.793 4.584
2.084 2.554 3.657
-2.814 2.105 3.447
Sr Os Ag
1 1 2
Direct
0.000 0.000 0.000 Sr
0.500 0.500 0.500 Os
0.250 0.250 0.250 Ag
0.750 0.750 0.750 Ag
```

Size of the total moment = 1.32 μB per formula unit
Uncorrected energy = -15.8 eV/f.u.
Distance to the lowest polymorph of the same formula = 104 meV per atom
Energy of formation = 705 meV per atom

Material: SrNpMnN3
Method: DFT, PBE
State: optimized geometry

Geometry as POSCAR:
```
SrNpMnN3
1.0
-2.050 -1.496 -2.362
2.183 -6.638 2.310
-6.016 1.162 4.486
Sr Np Mn N
2 2 2 6
Direct
0.750 0.821 0.800 Sr
0.250 0.179 0.200 Sr
0.250 0.651 0.167 Np
0.750 0.349 0.833 Np
0.250 0.074 0.597 Mn
0.750 0.926 0.403 Mn
0.250 0.837 0.463 N
0.750 0.855 0.152 N
0.750 0.441 0.132 N
0.750 0.163 0.537 N
0.250 0.559 0.868 N
0.250 0.145 0.848 N
```

Size of the total moment = 3.54 μB per formula unit
Raw formation energy = -797 meV/atom
Uncorrected energy = -53.5 eV/f.u.

Question: Which formula does entry 2 have?
Answer: SrNpMnN3

Question: size of the total moment of number 2 (SrNpMnN3)?
Answer: 3.54 μB per formula unit

Question: Among the records above, which one has the highest uncorrected energy?
Answer: SrAg2Os